Record 1
Computed, not measured: a PBEsol-optimized structure of CaMnAg at the meta-GGA SCAN level of DFT.

Computed properties:
Its energy relative to the elements is 84 kJ/mol of formula units.

CIF file:
```
data_CaMnAg
_space_group_name_H-M_alt 'P 3 m 1'
_space_group_IT_number 156
_cell_length_a 3.2543
_cell_length_b 3.2543
_cell_length_c 6.9597
_cell_angle_alpha 90.00
_cell_angle_beta 90.00
_cell_angle_gamma 120.00
loop_
_space_group_symop_operation_xyz
'x,y,z'
'-y,x-y,z'
'-x+y,-x,z'
'-y,-x,z'
'-x+y,y,z'
'x,x-y,z'
loop_
_atom_site_label
_atom_site_fract_x
_atom_site_fract_y
_atom_site_fract_z
Ca1 0.0000 0.0000 0.0000
Mn1 0.3333 0.6667 0.6357
Ag1 0.6667 0.3333 0.3548
```

---

Record 2
Computed, not measured: a PBEsol-optimized structure of Ca2MnAg at the meta-GGA SCAN level of DFT.

Computed properties:
Its energy relative to the elements is -15 kJ/mol of formula units.

CIF file:
```
data_Ca2MnAg
_space_group_name_H-M_alt 'P 4 m m'
_space_group_IT_number 99
_cell_length_a 3.5480
_cell_length_b 3.5480
_cell_length_c 8.1527
_cell_angle_alpha 90.00
_cell_angle_beta 90.00
_cell_angle_gamma 90.00
loop_
_space_group_symop_operation_xyz
'x,y,z'
'-y,x,z'
'-x,-y,z'
'y,-x,z'
'-x,y,z'
'y,x,z'
'x,-y,z'
'-y,-x,z'
loop_
_atom_site_label
_atom_site_fract_x
_atom_site_fract_y
_atom_site_fract_z
Ca1 0.0000 0.0000 0.0000
Ca2 0.5000 0.5000 0.3710
Mn1 0.0000 0.0000 0.6258
Ag1 0.5000 0.5000 0.7558
```

---

Record 3
Computed, not measured: a PBEsol-optimized structure of CaMnAg at the meta-GGA SCAN level of DFT.

Computed properties:
Its energy relative to the elements is 84 kJ/mol of formula units.

CIF file:
```
data_CaMnAg
_space_group_name_H-M_alt 'F -4 3 m'
_space_group_IT_number 216
_space_group_name_Hall 'F -4 2 3'
_cell_length_a 6.5003
_cell_length_b 6.5003
_cell_length_c 6.5003
_cell_angle_alpha 90.00
_cell_angle_beta 90.00
_cell_angle_gamma 90.00
loop_
_atom_site_label
_atom_site_fract_x
_atom_site_fract_y
_atom_site_fract_z
Ca1 0.0000 0.0000 0.0000
Mn1 0.2500 0.2500 0.2500
Ag1 0.0000 0.0000 0.5000
```

---

Record 4
Computed, not measured: a PBEsol-optimized structure of CaAgMo2 at the meta-GGA SCAN level of DFT.

Computed properties:
Its energy relative to the elements is 321 kJ/mol of formula units.

CIF file:
```
data_CaAgMo2
_space_group_name_H-M_alt 'P 4/m m m'
_space_group_IT_number 123
_space_group_name_Hall '-P 4 2'
_cell_length_a 3.6173
_cell_length_b 3.6173
_cell_length_c 6.4304
_cell_angle_alpha 90.00
_cell_angle_beta 90.00
_cell_angle_gamma 90.00
loop_
_atom_site_label
_atom_site_fract_x
_atom_site_fract_y
_atom_site_fract_z
Ca1 0.0000 0.0000 0.0000
Ag1 0.0000 0.0000 0.5000
Mo1 0.5000 0.5000 0.3346
```

---

Record 5
Computed, not measured: a PBEsol-optimized structure of CaAg2Mo at the meta-GGA SCAN level of DFT.

Computed properties:
Its energy relative to the elements is 170 kJ/mol of formula units.

CIF file:
```
data_CaAg2Mo
_space_group_name_H-M_alt 'P m m m'
_space_group_IT_number 47
_cell_length_a 2.8073
_cell_length_b 4.1103
_cell_length_c 6.5064
_cell_angle_alpha 90.00
_cell_angle_beta 90.00
_cell_angle_gamma 90.00
loop_
_space_group_symop_operation_xyz
'x,y,z'
'-x,-y,-z'
'-x,-y,z'
'x,y,-z'
'x,-y,-z'
'-x,y,z'
'-x,y,-z'
'x,-y,z'
loop_
_atom_site_label
_atom_site_fract_x
_atom_site_fract_y
_atom_site_fract_z
Ca1 0.0000 0.0000 0.0000
Ag1 0.5000 0.5000 0.2869
Mo1 0.0000 0.0000 0.5000
```

---

Record 6
Computed, not measured: a PBEsol-optimized structure of Ca5Ag2N4 at the meta-GGA SCAN level of DFT.

Computed properties:
Its raw formation energy is -0.718 eV/atom.

CIF file:
```
data_Ca5Ag2N4
_space_group_name_H-M_alt 'P 4/n c c'
_space_group_IT_number 130
_cell_length_a 7.8900
_cell_length_b 7.8900
_cell_length_c 13.1067
_cell_angle_alpha 90.00
_cell_angle_beta 90.00
_cell_angle_gamma 90.00
loop_
_space_group_symop_operation_xyz
'x,y,z'
'-x,-y,-z'
'-y+1/2,x,z'
'y+1/2,-x,-z'
'-x+1/2,-y+1/2,z'
'x+1/2,y+1/2,-z'
'y,-x+1/2,z'
'-y,x+1/2,-z'
'x+1/2,-y,-z+1/2'
'-x+1/2,y,z+1/2'
'-y,-x,-z+1/2'
'y,x,z+1/2'
'-x,y+1/2,-z+1/2'
'x,-y+1/2,z+1/2'
'y+1/2,x+1/2,-z+1/2'
'-y+1/2,-x+1/2,z+1/2'
loop_
_atom_site_label
_atom_site_fract_x
_atom_site_fract_y
_atom_site_fract_z
Ca1 0.0762 0.6341 0.0842
Ca2 0.2500 0.2500 0.1291
Ag1 0.0957 0.5957 0.7500
N1 0.0510 0.6381 0.9036
```

---

Record 7
Computed, not measured: a PBEsol-optimized structure of CaAgN2O at the meta-GGA SCAN level of DFT.

Computed properties:
Its raw formation energy is 1.090 eV/atom.

CIF file:
```
data_CaAgN2O
_space_group_name_H-M_alt 'P 4/m m m'
_space_group_IT_number 123
_space_group_name_Hall '-P 4 2'
_cell_length_a 4.5292
_cell_length_b 4.5292
_cell_length_c 4.2374
_cell_angle_alpha 90.00
_cell_angle_beta 90.00
_cell_angle_gamma 90.00
loop_
_atom_site_label
_atom_site_fract_x
_atom_site_fract_y
_atom_site_fract_z
Ca1 0.0000 0.0000 0.0000
Ag1 0.5000 0.5000 0.5000
N1 0.0000 0.5000 0.0000
O1 0.0000 0.0000 0.5000
```

---

Record 8
Computed, not measured: a PBEsol-optimized structure of CaAgSe2N at the meta-GGA SCAN level of DFT.

Computed properties:
Its raw formation energy is 0.606 eV/atom.

CIF file:
```
data_CaAgSe2N
_space_group_name_H-M_alt 'P 4/m m m'
_space_group_IT_number 123
_space_group_name_Hall '-P 4 2'
_cell_length_a 5.3853
_cell_length_b 5.3853
_cell_length_c 4.4368
_cell_angle_alpha 90.00
_cell_angle_beta 90.00
_cell_angle_gamma 90.00
loop_
_atom_site_label
_atom_site_fract_x
_atom_site_fract_y
_atom_site_fract_z
Ca1 0.0000 0.0000 0.0000
Ag1 0.5000 0.5000 0.5000
Se1 0.0000 0.5000 0.0000
N1 0.0000 0.0000 0.5000
```

---

Record 9
Computed, not measured: a PBEsol-optimized structure of NaCa3Ag at the meta-GGA SCAN level of DFT.

Computed properties:
Its energy relative to the elements is 322 kJ/mol of formula units.

CIF file:
```
data_NaCa3Ag
_space_group_name_H-M_alt 'P m -3 m'
_space_group_IT_number 221
_space_group_name_Hall '-P 4 2 3'
_cell_length_a 5.8189
_cell_length_b 5.8189
_cell_length_c 5.8189
_cell_angle_alpha 90.00
_cell_angle_beta 90.00
_cell_angle_gamma 90.00
loop_
_atom_site_label
_atom_site_fract_x
_atom_site_fract_y
_atom_site_fract_z
Na1 0.0000 0.0000 0.0000
Ca1 0.0000 0.0000 0.5000
Ag1 0.5000 0.5000 0.5000
```

---

Record 10
Computed, not measured: a PBEsol-optimized structure of NaCa2Ag2 at the meta-GGA SCAN level of DFT.

Computed properties:
Its energy relative to the elements is -118 kJ/mol of formula units.

CIF file:
```
data_NaCa2Ag2
_space_group_name_H-M_alt 'P 4/m b m'
_space_group_IT_number 127
_space_group_name_Hall '-P 4 2ab'
_cell_length_a 8.1299
_cell_length_b 8.1299
_cell_length_c 4.0029
_cell_angle_alpha 90.00
_cell_angle_beta 90.00
_cell_angle_gamma 90.00
loop_
_atom_site_label
_atom_site_fract_x
_atom_site_fract_y
_atom_site_fract_z
Na1 0.0000 0.0000 0.0000
Ca1 0.1677 0.3323 0.5000
Ag1 0.1234 0.6234 0.0000
```

---

Record 11
Computed, not measured: a PBEsol-optimized structure of Na2CaAg at the meta-GGA SCAN level of DFT.

Computed properties:
Its energy relative to the elements is 20 kJ/mol of formula units.

CIF file:
```
data_Na2CaAg
_space_group_name_H-M_alt 'I -4 2 d'
_space_group_IT_number 122
_space_group_name_Hall 'I -4 2bw'
_cell_length_a 4.3852
_cell_length_b 4.3852
_cell_length_c 23.9335
_cell_angle_alpha 90.00
_cell_angle_beta 90.00
_cell_angle_gamma 90.00
loop_
_atom_site_label
_atom_site_fract_x
_atom_site_fract_y
_atom_site_fract_z
Na1 0.2213 0.2500 0.1250
Ca1 0.0000 0.0000 0.5000
Ag1 0.0000 0.0000 0.0000
```

---

Record 12
Computed, not measured: a PBEsol-optimized structure of Na2CaTlAg at the meta-GGA SCAN level of DFT.

Computed properties:
Its energy relative to the elements is 75 kJ/mol of formula units.

CIF file:
```
data_Na2CaTlAg
_space_group_name_H-M_alt 'P 4/m m m'
_space_group_IT_number 123
_space_group_name_Hall '-P 4 2'
_cell_length_a 5.5848
_cell_length_b 5.5848
_cell_length_c 5.2621
_cell_angle_alpha 90.00
_cell_angle_beta 90.00
_cell_angle_gamma 90.00
loop_
_atom_site_label
_atom_site_fract_x
_atom_site_fract_y
_atom_site_fract_z
Na1 0.0000 0.5000 0.0000
Ca1 0.0000 0.0000 0.5000
Tl1 0.5000 0.5000 0.0000
Ag1 0.5000 0.5000 0.5000
```

---

Record 13
Computed, not measured: a PBEsol-optimized structure of CaNi2Ag at the meta-GGA SCAN level of DFT.

Computed properties:
Its energy relative to the elements is 77 kJ/mol of formula units.

CIF file:
```
data_CaNi2Ag
_space_group_name_H-M_alt 'P 4/m m m'
_space_group_IT_number 123
_space_group_name_Hall '-P 4 2'
_cell_length_a 4.0141
_cell_length_b 4.0141
_cell_length_c 3.7718
_cell_angle_alpha 90.00
_cell_angle_beta 90.00
_cell_angle_gamma 90.00
loop_
_atom_site_label
_atom_site_fract_x
_atom_site_fract_y
_atom_site_fract_z
Ca1 0.0000 0.0000 0.0000
Ni1 0.0000 0.5000 0.5000
Ag1 0.5000 0.5000 0.0000
```

---

Record 14
Computed, not measured: a PBEsol-optimized structure of CaNi2Ag at the meta-GGA SCAN level of DFT.

Computed properties:
Its energy relative to the elements is 92 kJ/mol of formula units.

CIF file:
```
data_CaNi2Ag
_space_group_name_H-M_alt 'F m -3 m'
_space_group_IT_number 225
_space_group_name_Hall '-F 4 2 3'
_cell_length_a 6.2657
_cell_length_b 6.2657
_cell_length_c 6.2657
_cell_angle_alpha 90.00
_cell_angle_beta 90.00
_cell_angle_gamma 90.00
loop_
_atom_site_label
_atom_site_fract_x
_atom_site_fract_y
_atom_site_fract_z
Ca1 0.0000 0.0000 0.0000
Ni1 0.2500 0.2500 0.2500
Ag1 0.0000 0.0000 0.5000
```

---

Record 15
Computed, not measured: a PBEsol-optimized structure of CaNi2Ag at the meta-GGA SCAN level of DFT.

Computed properties:
Its energy relative to the elements is 98 kJ/mol of formula units.

CIF file:
```
data_CaNi2Ag
_space_group_name_H-M_alt 'I -4 m 2'
_space_group_IT_number 119
_space_group_name_Hall 'I -4 -2'
_cell_length_a 3.9196
_cell_length_b 3.9196
_cell_length_c 8.0398
_cell_angle_alpha 90.00
_cell_angle_beta 90.00
_cell_angle_gamma 90.00
loop_
_atom_site_label
_atom_site_fract_x
_atom_site_fract_y
_atom_site_fract_z
Ca1 0.0000 0.0000 0.0000
Ni1 0.0000 0.0000 0.5000
Ni2 0.0000 0.5000 0.2500
Ag1 0.0000 0.5000 0.7500
```

---

Record 16
Computed, not measured: a PBEsol-optimized structure of CaNi4Ag at the meta-GGA SCAN level of DFT.

Computed properties:
Its energy relative to the elements is 3 kJ/mol of formula units.

CIF file:
```
data_CaNi4Ag
_space_group_name_H-M_alt 'F -4 3 m'
_space_group_IT_number 216
_space_group_name_Hall 'F -4 2 3'
_cell_length_a 6.8662
_cell_length_b 6.8662
_cell_length_c 6.8662
_cell_angle_alpha 90.00
_cell_angle_beta 90.00
_cell_angle_gamma 90.00
loop_
_atom_site_label
_atom_site_fract_x
_atom_site_fract_y
_atom_site_fract_z
Ca1 0.0000 0.0000 0.0000
Ni1 0.1246 0.1246 0.6246
Ag1 0.2500 0.2500 0.2500
```

---

Record 17
Computed, not measured: a PBEsol-optimized structure of Ca3AgO at the meta-GGA SCAN level of DFT.

Computed properties:
Its raw formation energy is -1.395 eV/atom.

CIF file:
```
data_Ca3AgO
_space_group_name_H-M_alt 'P m -3 m'
_space_group_IT_number 221
_space_group_name_Hall '-P 4 2 3'
_cell_length_a 4.7680
_cell_length_b 4.7680
_cell_length_c 4.7680
_cell_angle_alpha 90.00
_cell_angle_beta 90.00
_cell_angle_gamma 90.00
loop_
_atom_site_label
_atom_site_fract_x
_atom_site_fract_y
_atom_site_fract_z
Ca1 0.0000 0.0000 0.5000
Ag1 0.5000 0.5000 0.5000
O1 0.0000 0.0000 0.0000
```

---

Record 18
Computed, not measured: a PBEsol-optimized structure of Ca10AgP7O28 at the meta-GGA SCAN level of DFT.

Computed properties:
Its raw formation energy is -3.090 eV/atom.

CIF file:
```
data_Ca10AgP7O28
_space_group_name_H-M_alt 'R 3 c'
_space_group_IT_number 161
_space_group_name_Hall 'R 3 -2"c'
_cell_length_a 10.3991
_cell_length_b 10.3991
_cell_length_c 37.1473
_cell_angle_alpha 90.00
_cell_angle_beta 90.00
_cell_angle_gamma 120.00
loop_
_atom_site_label
_atom_site_fract_x
_atom_site_fract_y
_atom_site_fract_z
Ca1 0.0000 0.0000 0.0000
Ca2 0.0469 0.5086 0.1021
Ca3 0.1886 0.4002 0.8415
Ca4 0.1921 0.3917 0.7351
Ag1 0.0000 0.0000 0.3206
P1 0.0000 0.0000 0.2336
P2 0.0142 0.4869 0.3015
P3 0.1615 0.3614 0.5339
O1 0.0000 0.0000 0.1917
O2 0.0093 0.2814 0.8882
O3 0.0253 0.2370 0.1170
O4 0.0381 0.5095 0.3426
O5 0.0682 0.3791 0.2897
O6 0.0935 0.1901 0.5386
O7 0.1138 0.4360 0.0475
O8 0.1434 0.0030 0.7467
O9 0.1574 0.4079 0.4940
O10 0.1809 0.0812 0.9579
```

---

Record 19
Computed, not measured: a PBEsol-optimized structure of CaPrAg2O6 at the meta-GGA SCAN level of DFT.

Computed properties:
Its raw formation energy is -1.606 eV/atom.

CIF file:
```
data_CaPrAg2O6
_space_group_name_H-M_alt 'P m n 21'
_space_group_IT_number 31
_cell_length_a 7.8042
_cell_length_b 5.8356
_cell_length_c 5.5309
_cell_angle_alpha 90.00
_cell_angle_beta 90.00
_cell_angle_gamma 90.00
loop_
_space_group_symop_operation_xyz
'x,y,z'
'-x+1/2,-y,z+1/2'
'-x,y,z'
'x+1/2,-y,z+1/2'
loop_
_atom_site_label
_atom_site_fract_x
_atom_site_fract_y
_atom_site_fract_z
Ca1 0.0000 0.1824 0.0000
Pr1 0.0000 0.6842 0.4614
Ag1 0.2494 0.2474 0.4810
O1 0.0000 0.2891 0.5921
O2 0.0000 0.7928 0.8751
O3 0.1955 0.4501 0.1803
O4 0.1970 0.9497 0.2825
```

---

Record 20
Computed, not measured: a PBEsol-optimized structure of Ca2AgSbO6 at the meta-GGA SCAN level of DFT.

Computed properties:
Its raw formation energy is -1.978 eV/atom.

CIF file:
```
data_Ca2AgSbO6
_space_group_name_H-M_alt 'P 1 21/m 1'
_space_group_IT_number 11
_cell_length_a 5.7114
_cell_length_b 7.5690
_cell_length_c 6.0589
_cell_angle_alpha 90.00
_cell_angle_beta 103.53
_cell_angle_gamma 90.00
loop_
_space_group_symop_operation_xyz
'x,y,z'
'-x,-y,-z'
'-x,y+1/2,-z'
'x,-y+1/2,z'
loop_
_atom_site_label
_atom_site_fract_x
_atom_site_fract_y
_atom_site_fract_z
Ca1 0.0316 0.2500 0.0790
Ca2 0.4514 0.7500 0.4555
Ag1 0.0000 0.0000 0.5000
Sb1 0.5000 0.0000 0.0000
O1 0.0971 0.7500 0.5735
O2 0.1532 0.0413 0.8300
O3 0.3776 0.0546 0.2681
O4 0.4045 0.7500 0.0596
```

---

| no. | spin magnetization (μB/f.u.) |
| --- | --- |
| 1 | 4.17 |
| 2 | 4.54 |
| 3 | 4.21 |
| 4 | 0.00 |
| 5 | 0.72 |
| 6 | 0.00 |
| 7 | 5.00 |
| 8 | 3.96 |
| 9 | 0.00 |
| 10 | 0.00 |
| 11 | 0.00 |
| 12 | 0.00 |
| 13 | 0.00 |
| 14 | 0.00 |
| 15 | 0.58 |
| 16 | 0.01 |
| 17 | 0.00 |
| 18 | 0.00 |
| 19 | 0.00 |
| 20 | 0.00 |